SCAN Sr2InPt, PBEsol geometry; total magnetic moment = 0.00 Bohr magnetons per cell; ΔH_f (0 K) = -0.6903 eV/atom; ρ = 7.300 g/cm³; space-group type = P4/mmm, No. 123
1.0
-0.823 -1.290 3.369
2.752 -2.459 -0.269
5.082 5.329 3.281
Sr Pt In
2 1 1
Direct
0.000 0.000 0.216
0.000 0.000 0.784
0.500 0.500 0.000
0.500 0.500 0.500